Material: Mo2RhO
Method: DFT, PBE+U
State: relaxed

Unit cell a=6.168 b=6.168 c=5.572 alpha=56.39 beta=56.39 gamma=90.00
Positions (direct):
O1 0.250 0.750 0.500
Mo1 0.875 0.801 0.750
Mo2 0.199 0.625 0.250
Mo3 0.375 0.449 0.750
Rh1 0.000 0.000 0.000
Mo4 0.551 0.125 0.250
Rh2 0.750 0.250 0.500
O2 0.500 0.500 0.000

## Properties
VASP energy: -50.60 eV per cell
V: 16.5 A^3/atom
Space-group type: I-42d, No. 122
M_tot: 5.0 μB per formula unit